a | The following is a DFT calculation (PBE) of a geometry-optimized MnPOsRuSeS structure.

Cell and atoms, written as POSCAR:
```
MnPOsRuSeS
1.0
2.823 0.000 0.002
-0.497 5.462 -0.004
-0.848 -1.285 6.014
P Mn Ru Se Os S
1 1 1 1 1 1
Direct
0.223 0.216 0.793
0.709 0.452 0.608
0.840 0.494 0.033
0.669 0.121 0.225
0.337 0.803 0.838
0.198 0.661 0.443
```

Magnetic moment   0.52 μB/cell

***

b | The following is a DFT calculation (PBE) of a geometry-optimized MnPOsRuSeS structure.

Cell and atoms, written as POSCAR:
```
MnPOsRuSeS
1.0
-0.841 3.938 0.380
-4.028 -1.752 -1.029
1.477 -1.296 5.081
Se P Mn S Os Ru
1 1 1 1 1 1
Direct
0.039 0.944 0.029
0.170 0.344 0.742
0.172 0.774 0.595
0.635 0.750 0.405
0.729 0.385 0.024
0.544 0.248 0.457
```

Magnetic moment   0.00 μB/cell

***

c | The following is a DFT calculation (PBE) of a geometry-optimized MnPOsRuSeS structure.

Cell and atoms, written as POSCAR:
```
MnPOsRuSeS
1.0
5.735 0.000 -0.093
0.000 3.134 0.000
-2.153 0.000 5.342
Se P S Ru Mn Os
1 1 1 1 1 1
Direct
0.842 0.000 0.906
0.449 0.500 0.138
0.060 0.500 0.518
0.490 0.500 0.753
0.731 0.000 0.458
0.235 0.000 0.287
```

Magnetic moment   2.84 μB/cell

***

So which one is most stable? That would be c, about 54 meV per atom below the next structure.

***

a | The following is a DFT calculation (PBE) of a geometry-optimized MnPOsRuSeS structure.

Cell and atoms, written as POSCAR:
```
MnPOsRuSeS
1.0
-4.989 -1.876 1.583
1.301 -2.641 0.971
5.973 5.967 8.229
Se Mn Ru S P Os
2 2 2 2 2 2
Direct
0.969 0.500 0.615
0.969 0.000 0.115
0.311 0.500 0.556
0.311 0.000 0.056
0.606 0.500 0.401
0.606 0.000 0.901
0.538 0.000 0.695
0.538 0.500 0.195
0.325 0.500 0.917
0.325 0.000 0.417
0.999 0.500 0.292
0.999 0.000 0.792
```

Magnetic moment   0.24 μB/cell

***

b | The following is a DFT calculation (PBE) of a geometry-optimized MnPOsRuSeS structure.

Cell and atoms, written as POSCAR:
```
MnPOsRuSeS
1.0
3.881 0.000 0.000
0.000 4.306 0.000
-1.205 0.000 5.757
S Se Os P Ru Mn
1 1 1 1 1 1
Direct
0.256 0.000 0.513
0.844 0.000 0.952
0.564 0.500 0.987
0.533 0.500 0.369
0.111 0.500 0.603
0.728 0.000 0.322
```

Magnetic moment   0.02 μB/cell

***

c | The following is a DFT calculation (PBE) of a geometry-optimized MnPOsRuSeS structure.

Cell and atoms, written as POSCAR:
```
MnPOsRuSeS
1.0
-0.866 -1.366 -2.613
5.138 -1.276 -2.149
2.153 -5.397 1.512
Ru Se Os P S Mn
1 1 1 1 1 1
Direct
0.796 0.536 0.648
0.898 0.094 0.974
0.492 0.760 0.957
0.358 0.541 0.369
0.533 0.981 0.520
0.946 0.281 0.279
```

Magnetic moment   1.62 μB/cell

***

d | The following is a DFT calculation (PBE) of a geometry-optimized MnPOsRuSeS structure.

Cell and atoms, written as POSCAR:
```
MnPOsRuSeS
1.0
-1.078 -1.932 2.610
5.114 -0.497 1.743
-2.567 5.688 0.909
Se S P Ru Mn Os
1 1 1 1 1 1
Direct
0.166 0.014 0.190
0.968 0.332 0.794
0.375 0.744 0.607
0.796 0.426 0.450
0.169 0.567 0.196
0.549 0.170 0.956
```

Magnetic moment   2.10 μB/cell

***

So which one is most stable? That would be d, about 34 meV per atom below the next structure.

***

a | The following is a DFT calculation (PBE) of a geometry-optimized Mn2Os2Pd structure.

Cell and atoms, written as POSCAR:
```
Mn2Os2Pd
1.0
7.221 0.000 0.000
0.000 7.221 0.000
0.000 0.000 2.655
Pd Os Mn
2 4 4
Direct
0.500 0.500 0.000
0.000 0.000 0.000
0.371 0.871 0.000
0.871 0.629 0.000
0.129 0.371 0.000
0.629 0.129 0.000
0.836 0.336 0.500
0.664 0.836 0.500
0.336 0.164 0.500
0.164 0.664 0.500
```

Magnetic moment   2.48 μB/cell

***

b | The following is a DFT calculation (PBE) of a geometry-optimized Mn2Os2Pd structure.

Cell and atoms, written as POSCAR:
```
Mn2Os2Pd
1.0
7.125 0.000 0.000
0.000 7.125 0.000
0.000 0.000 2.667
Os Mn Pd
4 4 2
Direct
0.833 0.333 0.500
0.333 0.167 0.500
0.167 0.667 0.500
0.667 0.833 0.500
0.123 0.377 0.000
0.377 0.877 0.000
0.877 0.623 0.000
0.623 0.123 0.000
0.000 0.000 0.000
0.500 0.500 0.000
```

Magnetic moment   0.00 μB/cell

***

So which one is most stable? That would be b, about 31 meV per atom below the next structure.

***

a | The following is a DFT calculation (PBE) of a geometry-optimized MnOsPd3 structure.

Cell and atoms, written as POSCAR:
```
MnOsPd3
1.0
4.807 0.000 0.000
0.000 4.807 0.000
0.000 0.000 4.807
Pd Os Mn
3 1 1
Direct
0.000 0.500 0.000
0.000 0.000 0.500
0.500 0.000 0.000
0.000 0.000 0.000
0.500 0.500 0.500
```

Magnetic moment   5.29 μB/cell

***

b | The following is a DFT calculation (PBE) of a geometry-optimized MnOsPd3 structure.

Cell and atoms, written as POSCAR:
```
MnOsPd3
1.0
4.433 0.000 0.000
0.000 4.433 0.000
0.000 0.000 4.433
Pd Mn Os
3 1 1
Direct
0.500 0.000 0.000
0.000 0.500 0.000
0.000 0.000 0.500
0.000 0.000 0.000
0.500 0.500 0.500
```

Magnetic moment   0.00 μB/cell

***

So which one is most stable? That would be a, about 298 meV per atom below the next structure.

***

a | The following is a DFT calculation (PBE) of a geometry-optimized Pu2MnOs structure.

Cell and atoms, written as POSCAR:
```
Pu2MnOs
1.0
4.782 0.000 0.000
2.391 4.142 0.000
2.391 1.381 3.905
Mn Pu Os
1 2 1
Direct
0.500 0.500 0.500
0.750 0.750 0.750
0.250 0.250 0.250
0.000 0.000 0.000
```

Magnetic moment   6.55 μB/cell

***

b | The following is a DFT calculation (PBE) of a geometry-optimized Pu2MnOs structure.

Cell and atoms, written as POSCAR:
```
Pu2MnOs
1.0
-2.867 1.998 -0.470
-0.797 -2.108 -4.097
-2.602 -3.225 2.165
Pu Mn Os
2 1 1
Direct
0.000 0.000 0.500
0.000 0.500 0.000
0.500 0.500 0.500
0.500 0.000 0.000
```

Magnetic moment   6.57 μB/cell

***

So which one is most stable? That would be a, about 37 meV per atom below the next structure.

***

a | The following is a DFT calculation (PBE) of a geometry-optimized PuMnOs structure.

Cell and atoms, written as POSCAR:
```
PuMnOs
1.0
-0.245 -2.762 -2.105
1.457 -1.997 2.451
-4.465 1.512 1.414
Os Mn Pu
1 1 1
Direct
0.622 0.622 0.243
0.275 0.275 0.550
0.953 0.953 0.907
```

Magnetic moment   1.02 μB/cell

***

b | The following is a DFT calculation (PBE) of a geometry-optimized PuMnOs structure.

Cell and atoms, written as POSCAR:
```
PuMnOs
1.0
-0.687 -0.767 -3.038
-4.085 -1.121 1.207
0.873 4.135 -1.241
Pu Mn Os
1 1 1
Direct
0.667 0.333 0.667
0.167 0.000 0.000
0.167 0.667 0.333
```

Magnetic moment   7.66 μB/cell

***

c | The following is a DFT calculation (PBE) of a geometry-optimized PuMnOs structure.

Cell and atoms, written as POSCAR:
```
PuMnOs
1.0
-0.259 -5.089 -1.150
3.591 1.368 3.538
-3.889 2.312 2.610
Pu Os Mn
2 2 2
Direct
0.250 0.124 0.874
0.750 0.876 0.126
0.500 0.500 0.500
0.000 0.500 0.000
0.000 0.500 0.500
0.500 0.000 0.500
```

Magnetic moment   4.63 μB/cell

***

So which one is most stable? That would be c, about 360 meV per atom below the next structure.

***

a | The following is a DFT calculation (PBE) of a geometry-optimized MnRe2Os structure.

Cell and atoms, written as POSCAR:
```
MnRe2Os
1.0
2.726 0.000 0.000
0.000 4.679 -0.001
0.000 3.121 4.431
Os Re Mn
1 2 1
Direct
0.000 0.000 0.500
0.000 0.000 0.000
0.500 0.500 0.000
0.500 0.500 0.500
```

Magnetic moment   1.29 μB/cell

***

b | The following is a DFT calculation (PBE) of a geometry-optimized MnRe2Os structure.

Cell and atoms, written as POSCAR:
```
MnRe2Os
1.0
-4.573 0.546 -0.805
-4.328 -1.347 1.145
-1.001 3.228 3.260
Os Re Mn
1 2 1
Direct
0.250 0.250 0.250
0.998 0.998 0.009
0.752 0.752 0.739
0.500 0.500 0.502
```

Magnetic moment   1.36 μB/cell

***

c | The following is a DFT calculation (PBE) of a geometry-optimized MnRe2Os structure.

Cell and atoms, written as POSCAR:
```
MnRe2Os
1.0
-0.881 -2.661 3.057
2.335 0.651 1.239
-1.162 3.937 3.091
Re Os Mn
2 1 1
Direct
0.500 0.299 0.274
0.000 0.946 0.986
0.500 0.568 0.741
0.000 0.686 0.500
```

Magnetic moment   0.00 μB/cell

***

d | The following is a DFT calculation (PBE) of a geometry-optimized MnRe2Os structure.

Cell and atoms, written as POSCAR:
```
MnRe2Os
1.0
3.825 0.000 0.000
0.000 3.825 0.000
0.000 0.000 3.846
Os Re Mn
1 2 1
Direct
0.000 0.500 0.500
0.000 0.000 0.000
0.500 0.500 0.000
0.500 0.000 0.500
```

Magnetic moment   1.41 μB/cell

***

So which one is most stable? That would be d, about 29 meV per atom below the next structure.

***

a | The following is a DFT calculation (PBE) of a geometry-optimized MnRe2Os structure.

Cell and atoms, written as POSCAR:
```
MnRe2Os
1.0
4.707 0.003 -0.008
3.914 2.614 -0.008
0.765 0.232 4.602
Mn Re Os
1 2 1
Direct
0.750 0.750 0.750
0.997 0.997 0.999
0.503 0.503 0.501
0.250 0.250 0.250
```

Magnetic moment   1.48 μB/cell

***

b | The following is a DFT calculation (PBE) of a geometry-optimized MnRe2Os structure.

Cell and atoms, written as POSCAR:
```
MnRe2Os
1.0
0.000 3.062 3.062
3.062 0.000 3.062
3.062 3.062 0.000
Os Re Mn
1 2 1
Direct
0.500 0.500 0.500
0.250 0.250 0.250
0.750 0.750 0.750
0.000 0.000 0.000
```

Magnetic moment   2.62 μB/cell

***

So which one is most stable? That would be a, about 246 meV per atom below the next structure.

***

a | The following is a DFT calculation (PBE) of a geometry-optimized MnRe2Os structure.

Cell and atoms, written as POSCAR:
```
MnRe2Os
1.0
-1.162 0.843 -4.093
-4.198 0.094 -1.087
-1.902 3.775 -0.981
Re Mn Os
2 1 1
Direct
0.000 0.000 0.999
0.250 0.250 0.250
0.500 0.500 0.500
0.750 0.750 0.750
```

Magnetic moment   3.32 μB/cell

***

b | The following is a DFT calculation (PBE) of a geometry-optimized MnRe2Os structure.

Cell and atoms, written as POSCAR:
```
MnRe2Os
1.0
8.920 -0.005 -0.003
8.505 2.689 -0.003
8.505 1.310 2.348
Mn Re Os
1 2 1
Direct
0.499 0.499 0.499
0.000 0.000 0.000
0.247 0.247 0.247
0.754 0.754 0.754
```

Magnetic moment   1.37 μB/cell

***

c | The following is a DFT calculation (PBE) of a geometry-optimized MnRe2Os structure.

Cell and atoms, written as POSCAR:
```
MnRe2Os
1.0
-1.075 -0.056 2.493
-1.380 -2.248 -0.646
5.764 -4.225 2.392
Mn Os Re
1 1 2
Direct
0.500 0.500 0.250
0.500 0.500 0.750
0.000 0.000 0.487
0.000 0.000 0.013
```

Magnetic moment   0.75 μB/cell

***

So which one is most stable? That would be c, about 40 meV per atom below the next structure.

***

a | The following is a DFT calculation (PBE) of a geometry-optimized MnReOs2 structure.

Cell and atoms, written as POSCAR:
```
MnReOs2
1.0
-3.334 3.916 0.464
-4.367 -0.099 -2.754
2.931 -2.310 3.570
Re Mn Os
1 1 2
Direct
0.479 0.479 0.000
0.251 0.751 0.500
0.022 0.022 0.000
0.748 0.248 0.500
```

Magnetic moment   2.67 μB/cell

***

b | The following is a DFT calculation (PBE) of a geometry-optimized MnReOs2 structure.

Cell and atoms, written as POSCAR:
```
MnReOs2
1.0
8.882 -0.004 -0.002
8.470 2.675 -0.002
8.470 1.304 2.335
Mn Os Re
1 2 1
Direct
0.749 0.749 0.749
0.004 0.004 0.004
0.250 0.250 0.250
0.498 0.498 0.498
```

Magnetic moment   0.92 μB/cell

***

So which one is most stable? That would be b, about 140 meV per atom below the next structure.